Entry from Alexandria: a geometry-optimized LiPr2CoO5 structure (GGA+U).

Geometry as extended XYZ:
```
18
Lattice="6.815 0.000 0.000 0.000 6.815 0.000 0.000 0.000 5.575" Properties=species:S:1:pos:R:3 pbc="T T T"
Li 0.000 0.000 0.000
Li 3.407 3.407 0.000
Pr 1.210 2.198 2.788
Pr 2.198 5.605 2.788
Pr 4.617 1.210 2.788
Pr 5.605 4.617 2.788
Co 0.000 3.407 0.000
Co 3.407 0.000 0.000
O 0.000 0.000 2.788
O 0.897 4.305 1.313
O 0.897 4.305 4.263
O 2.510 0.897 1.313
O 2.510 0.897 4.263
O 3.407 3.407 2.788
O 4.305 5.918 1.313
O 4.305 5.918 4.263
O 5.918 2.510 1.313
O 5.918 2.510 4.263
```

Summary:
Its space group is No. 127. The raw total energy comes out at -6.858 eV per atom. For the volume, the calculation gives 14.4 Å³ per atom.